{
  "formula": "Tc2SbIr",
  "functional": "PBE",
  "state": "relaxed",
  "lattice_angstrom": [[2.9450, 0.0000, 0.0000], [0.0000, 3.8691, 0.0000], [0.0000, 0.0000, 5.6544]],
  "species": ["Tc", "Tc", "Sb", "Ir"],
  "frac_coords": [[0.0000, 0.0000, 0.0000], [0.5000, 0.5000, 0.2075], [0.5000, 0.5000, 0.7167], [0.0000, 0.0000, 0.4705]],
  "sg": "Pmm2",
  "e_form_raw_ev_per_atom": 0.22,
  "total_magnetization_mub_per_atom": 0.000
}

---

{
  "formula": "Tc2SbIr",
  "functional": "PBE",
  "state": "relaxed",
  "lattice_angstrom": [[2.8697, 0.0000, 0.0000], [0.0000, 3.9084, 0.0000], [0.0000, 0.0000, 5.8128]],
  "species": ["Tc", "Tc", "Sb", "Ir"],
  "frac_coords": [[0.0000, 0.0000, 0.2221], [0.0000, 0.0000, 0.7779], [0.5000, 0.5000, 0.5000], [0.5000, 0.5000, 0.0000]],
  "sg": "Pmmm",
  "e_form_raw_ev_per_atom": 0.28,
  "total_magnetization_mub_per_atom": 0.000
}

---

{
  "formula": "Tc2SbIr",
  "functional": "PBE",
  "state": "relaxed",
  "lattice_angstrom": [[-1.5622, 2.2670, 4.5207], [1.5622, -2.2670, 4.5207], [1.5622, 2.2670, -4.5207]],
  "species": ["Tc", "Tc", "Sb", "Ir"],
  "frac_coords": [[0.0000, 0.0000, 0.0000], [0.7418, 0.2418, 0.5000], [0.5054, 0.5054, 0.0000], [0.2745, 0.7745, 0.5000]],
  "sg": "Imm2",
  "e_form_raw_ev_per_atom": 0.24,
  "total_magnetization_mub_per_atom": 0.000
}

---

{
  "formula": "TcSb2Ir",
  "functional": "PBE",
  "state": "relaxed",
  "lattice_angstrom": [[1.5408, 0.8896, 10.4171], [-1.5408, 0.8896, 10.4171], [0.0000, -1.7791, 10.4171]],
  "species": ["Tc", "Sb", "Sb", "Ir"],
  "frac_coords": [[0.0000, 0.0000, 0.0000], [0.5306, 0.5306, 0.5306], [0.7333, 0.7333, 0.7333], [0.2650, 0.2650, 0.2650]],
  "sg": "R3m",
  "e_form_raw_ev_per_atom": 0.32,
  "total_magnetization_mub_per_atom": 0.000,
  "e_above_lowest_polymorph_ev_per_atom": 0.192
}

---

{
  "formula": "TcSb2TeIr",
  "functional": "PBE",
  "state": "relaxed",
  "lattice_angstrom": [[5.0430, 0.0000, 0.0000], [0.0000, 5.0430, 0.0000], [0.0000, 0.0000, 5.0621]],
  "species": ["Tc", "Sb", "Sb", "Te", "Ir"],
  "frac_coords": [[0.0000, 0.0000, 0.0000], [0.0000, 0.5000, 0.0000], [0.5000, 0.0000, 0.0000], [0.0000, 0.0000, 0.5000], [0.5000, 0.5000, 0.5000]],
  "sg": "P4/mmm",
  "e_form_raw_ev_per_atom": 1.08,
  "total_magnetization_mub_per_atom": 0.000,
  "e_above_lowest_polymorph_ev_per_atom": 0.000
}

---

{
  "formula": "TcSb2TeIr",
  "functional": "PBE",
  "state": "relaxed",
  "lattice_angstrom": [[5.0678, 0.0000, 0.0000], [0.0000, 5.0678, 0.0000], [0.0000, 0.0000, 5.4407]],
  "species": ["Tc", "Sb", "Sb", "Te", "Ir"],
  "frac_coords": [[0.0000, 0.0000, 0.0000], [0.0000, 0.5000, 0.5000], [0.5000, 0.0000, 0.5000], [0.5000, 0.5000, 0.0000], [0.5000, 0.5000, 0.5000]],
  "sg": "P4/mmm",
  "e_form_raw_ev_per_atom": 1.11,
  "total_magnetization_mub_per_atom": 0.602,
  "e_above_lowest_polymorph_ev_per_atom": 0.029
}

---

{
  "formula": "SbTeIr3",
  "functional": "PBE",
  "state": "relaxed",
  "lattice_angstrom": [[4.8786, 0.0000, 0.0000], [0.0000, 4.8786, 0.0000], [0.0000, 0.0000, 4.8786]],
  "species": ["Sb", "Te", "Ir", "Ir", "Ir"],
  "frac_coords": [[0.0000, 0.0000, 0.0000], [0.5000, 0.5000, 0.5000], [0.0000, 0.5000, 0.5000], [0.5000, 0.0000, 0.5000], [0.5000, 0.5000, 0.0000]],
  "sg": "Pm-3m",
  "e_form_raw_ev_per_atom": 1.44,
  "total_magnetization_mub_per_atom": 0.000,
  "e_above_lowest_polymorph_ev_per_atom": 0.000
}

---

{
  "formula": "Sb2TeIr",
  "functional": "PBE",
  "state": "relaxed",
  "lattice_angstrom": [[5.2181, 0.0000, 0.0000], [0.0000, 5.2181, 0.0000], [0.0000, 0.0000, 3.3326]],
  "species": ["Sb", "Sb", "Te", "Ir"],
  "frac_coords": [[0.0000, 0.5000, 0.0000], [0.5000, 0.0000, 0.0000], [0.0000, 0.0000, 0.5000], [0.5000, 0.5000, 0.5000]],
  "sg": "P4/mmm",
  "e_form_raw_ev_per_atom": 0.54,
  "total_magnetization_mub_per_atom": 0.000
}